# 1
## LiTiF5 (GGA-PBE)

Data for crystalline LiTiF5 at its relaxed geometry.

crystal system: monoclinic
energy: -42.2 eV/f.u.
total magnetization: 0.0000 μB/atom
relative energy among the computed polymorphs: 0.0 meV/atom
uncorrected formation energy: -3.2843 eV per atom

a b c (Å): 8.3393 6.7006 7.6775
angles (deg): 90.00 118.37 90.00
Space group C2/c (No. 15)
One atom of each set of equivalent atoms:
Li 0.0000 0.0504 0.2500
Ti 0.0000 0.5000 0.0000
F 0.0000 0.4327 0.7500
F 0.0245 0.2311 0.4580
F 0.2486 0.0298 0.8647

---

# 2
## La2Ga3Cu2 (GGA-PBE)

Data for crystalline La2Ga3Cu2 at its relaxed geometry.

DFT formation energy: -0.458 eV/atom
crystal system: orthorhombic
energy: -30.3 eV/f.u.
total magnetization: 0.0000 μB/atom
relative energy among the computed polymorphs: 0.0 meV/atom

a b c (Å): 4.4641 18.8159 7.0768
angles (deg): 90.00 90.00 90.00
Space group Cmcm (No. 63)
One atom of each set of equivalent atoms:
La 0.0000 0.0587 0.2500
La 0.0000 0.1622 0.7500
Ga 0.0000 0.2250 0.2500
Ga 0.0000 0.4394 0.0728
Cu 0.0000 0.3140 0.5674

---

# 3
## YGe2RuPt (GGA-PBE)

Data for crystalline YGe2RuPt at its relaxed geometry.

DFT formation energy: -0.764 eV/atom
crystal system: tetragonal
energy: -34.8 eV/f.u.
total magnetization: 0.0000 μB/atom

a b c (Å): 4.1648 4.1648 10.4333
angles (deg): 90.00 90.00 90.00
Space group I-4m2 (No. 119)
One atom of each set of equivalent atoms:
Y 0.0000 0.0000 0.0000
Ge 0.0000 0.0000 0.3798
Ru 0.0000 0.5000 0.7500
Pt 0.0000 0.5000 0.2500

---

# 4
## Cs3Ce2ZrSe6 (GGA-PBE)

Data for crystalline Cs3Ce2ZrSe6 at its relaxed geometry.

crystal system: monoclinic
energy: -62.1 eV/f.u.
total magnetization: 0.2477 μB/atom
uncorrected formation energy: -1.5209 eV per atom

a b c (Å): 7.4027 12.8245 8.7618
angles (deg): 90.00 106.37 90.00
Space group C2/m (No. 12)
One atom of each set of equivalent atoms:
Cs 0.0000 0.0000 0.0000
Cs 0.0000 0.3309 0.0000
Ce 0.0000 0.1664 0.5000
Zr 0.0000 0.5000 0.5000
Se 0.2196 0.3426 0.6867
Se 0.2482 0.0000 0.6880

---

# 5
## Al2In (GGA-PBE)

Data for crystalline Al2In at its relaxed geometry.

DFT formation energy: 0.163 eV/atom
crystal system: orthorhombic
energy: -9.7 eV/f.u.
total magnetization: 0.0000 μB/atom

a b c (Å): 6.3121 4.3142 8.8977
angles (deg): 90.00 90.00 90.00
Space group Pnma (No. 62)
One atom of each set of equivalent atoms:
Al 0.1110 0.2500 0.2418
Al 0.1129 0.2500 0.9195
In 0.1307 0.2500 0.5874

---

# 6
## FeNi2Se (GGA-PBE)

Data for crystalline FeNi2Se at its relaxed geometry.

crystal system: orthorhombic
energy: -23.0 eV/f.u.
total magnetization: 0.8225 μB/atom
uncorrected formation energy: 0.1362 eV per atom

a b c (Å): 3.0985 3.1287 5.3026
angles (deg): 90.00 90.00 90.00
Space group Pmm2 (No. 25)
One atom of each set of equivalent atoms:
Fe 0.0000 0.0000 0.0000
Ni 0.0000 0.0000 0.4736
Ni 0.5000 0.5000 0.2248
Se 0.5000 0.5000 0.7075

---

# 7
## Li2YMg (GGA-PBE)

Data for crystalline Li2YMg at its relaxed geometry.

DFT formation energy: 0.076 eV/atom
crystal system: monoclinic
energy: -11.6 eV/f.u.
total magnetization: 0.0000 μB/atom

a b c (Å): 10.6052 3.3380 5.6622
angles (deg): 90.00 101.92 90.00
Space group C2/m (No. 12)
One atom of each set of equivalent atoms:
Li 0.2409 0.0000 0.2259
Y 0.0000 0.0000 0.5000
Mg 0.0000 0.5000 0.0000

---

# 8
## LiCoPt (GGA-PBE)

Data for crystalline LiCoPt at its relaxed geometry.

DFT formation energy: -0.174 eV/atom
crystal system: orthorhombic
energy: -15.6 eV/f.u.
total magnetization: 0.7084 μB/atom
relative energy among the computed polymorphs: 0.0 meV/atom

a b c (Å): 2.6729 3.8002 7.6972
angles (deg): 90.00 90.00 90.00
Space group Imm2 (No. 44)
One atom of each set of equivalent atoms:
Li 0.0000 0.0000 0.0000
Co 0.0000 0.0000 0.6737
Pt 0.0000 0.0000 0.3310

---

# 9
## Cs (GGA-PBE)

Data for crystalline Cs at its relaxed geometry.

DFT formation energy: 0.043 eV/atom
crystal system: tetragonal
energy: -0.8 eV/f.u.
total magnetization: 0.0000 μB/atom
relative energy among the computed polymorphs: 42.5 meV/atom

a b c (Å): 19.2148 19.2148 5.2119
angles (deg): 90.00 90.00 90.00
Space group I4/m (No. 87)
One atom of each set of equivalent atoms:
Cs 0.0970 0.6430 0.0000
Cs 0.1004 0.1606 0.0000

---

# 10
## CeDyRh2 (GGA-PBE)

Data for crystalline CeDyRh2 at its relaxed geometry.

DFT formation energy: -0.771 eV/atom
crystal system: tetragonal
energy: -28.3 eV/f.u.
total magnetization: 0.0278 μB/atom

a b c (Å): 3.4469 3.4469 6.9631
angles (deg): 90.00 90.00 90.00
Space group P4/mmm (No. 123)
One atom of each set of equivalent atoms:
Ce 0.0000 0.0000 0.0000
Dy 0.0000 0.0000 0.5000
Rh 0.5000 0.5000 0.2455

---

# 11
## SrCuB3 (GGA-PBE)

Data for crystalline SrCuB3 at its relaxed geometry.

DFT formation energy: 3.076 eV/atom
crystal system: cubic
energy: -10.4 eV/f.u.
total magnetization: 0.0009 μB/atom
relative energy among the computed polymorphs: 1949.3 meV/atom

a b c (Å): 4.8992 4.8992 4.8992
angles (deg): 90.00 90.00 90.00
Space group Pm-3m (No. 221)
One atom of each set of equivalent atoms:
Sr 0.0000 0.0000 0.0000
Cu 0.5000 0.5000 0.5000
B 0.0000 0.0000 0.5000

---

# 12
## AcEuAlAg (GGA-PBE)

Data for crystalline AcEuAlAg at its relaxed geometry.

DFT formation energy: -0.243 eV/atom
crystal system: cubic
energy: -21.9 eV/f.u.
total magnetization: 1.7508 μB/atom

a b c (Å): 7.8016 7.8016 7.8016
angles (deg): 90.00 90.00 90.00
Space group F-43m (No. 216)
One atom of each set of equivalent atoms:
Ac 0.0000 0.0000 0.0000
Eu 0.0000 0.0000 0.5000
Al 0.2500 0.2500 0.2500
Ag 0.2500 0.2500 0.7500